DFT (PBE-GGA) results for a relaxed Tb2MgAl3 crystal.

Geometry as POSCAR:
```
Tb2MgAl3
1.0
-1.648 -1.222 -5.505
-4.278 -2.007 3.492
-0.786 8.788 0.537
Al Tb Mg
6 4 2
Direct
0.836 0.836 0.673
0.837 0.327 0.164
0.673 0.163 0.836
0.163 0.673 0.836
0.327 0.837 0.164
0.164 0.164 0.327
0.250 0.750 0.500
0.751 0.751 0.000
0.249 0.249 0.000
0.750 0.250 0.500
0.333 0.333 0.666
0.667 0.667 0.334
```

Calculated values
The energy of formation is -0.3843 eV per atom. As for the total energy: -48.8 eV per cell. The calculation puts the density of states at the Fermi level at 0.552 states/eV/atom. As for the symmetry: Fmmm (69).

DFT (PBE-GGA) results for a relaxed PrNdY3Sc crystal.

Geometry as POSCAR:
```
PrNdY3Sc
1.0
5.041 0.000 0.000
-2.520 7.573 0.000
0.000 0.000 10.073
Y Sc Pr Nd
6 2 2 2
Direct
0.830 0.659 0.250
0.331 0.663 0.999
0.331 0.663 0.501
0.170 0.341 0.750
0.669 0.337 0.001
0.669 0.337 0.499
0.832 0.664 0.750
0.168 0.336 0.250
0.000 0.000 0.000
0.000 0.000 0.500
0.497 0.995 0.750
0.503 0.005 0.250
```

Calculated values
The energy of formation is 0.0431 eV per atom. As for the total energy: -70.0 eV per cell. The calculation puts the density of states at the Fermi level at 1.606 states/eV/atom. As for the symmetry: Cmcm (63).

DFT (PBE-GGA) results for a relaxed Nd6Cu5Pd crystal.

Geometry as POSCAR:
```
Nd6Cu5Pd
1.0
-0.882 0.474 -4.994
4.005 -5.836 -1.261
-5.767 -4.649 3.197
Cu Nd Pd
5 6 1
Direct
0.000 0.500 0.000
0.671 0.000 0.344
0.329 0.000 0.656
0.336 0.500 0.670
0.664 0.500 0.330
0.500 0.251 0.000
0.500 0.749 0.000
0.834 0.749 0.667
0.166 0.251 0.333
0.834 0.251 0.667
0.166 0.749 0.333
0.000 0.000 0.000
```

Calculated values
The energy of formation is -0.2387 eV per atom. As for the total energy: -57.1 eV per cell. The calculation puts the density of states at the Fermi level at 0.881 states/eV/atom. As for the symmetry: P2/m (10).